HfScIn2 | the Alexandria database | PBE-GGA | optimized geometry; theoretical density = 8.466 g cm⁻³; energy of formation from the pure elements = -0.17 eV/atom; space group = Fm-3m
1.0
0.000 3.542 3.542
3.542 0.000 3.542
3.542 3.542 0.000
Hf Sc In
1 1 2
Cartesian
0.000 0.000 0.000 Hf
3.542 3.542 3.542 Sc
1.771 1.771 1.771 In
5.313 5.313 5.313 In

HfSc14In | the Alexandria database | PBE-GGA | optimized geometry; theoretical density = 3.980 g cm⁻³; energy of formation from the pure elements = -0.01 eV/atom; space group = P4/mmm
1.0
6.484 0.000 0.000
0.000 6.484 0.000
0.000 0.000 9.156
Hf Sc In
1 14 1
Cartesian
0.000 0.000 0.000 Hf
0.000 0.000 4.578 Sc
0.000 3.242 0.000 Sc
0.000 3.242 4.578 Sc
1.593 1.593 2.249 Sc
1.593 1.593 6.907 Sc
1.593 4.892 2.249 Sc
1.593 4.892 6.907 Sc
3.242 0.000 0.000 Sc
3.242 0.000 4.578 Sc
3.242 3.242 4.578 Sc
4.892 1.593 2.249 Sc
4.892 1.593 6.907 Sc
4.892 4.892 2.249 Sc
4.892 4.892 6.907 Sc
3.242 3.242 0.000 In

HfSc7In4 | the Alexandria database | PBE-GGA | optimized geometry; theoretical density = 5.481 g cm⁻³; energy of formation from the pure elements = -0.04 eV/atom; space group = C2/m
1.0
7.008 -2.664 0.000
7.008 2.664 0.000
-4.592 0.000 7.727
Hf Sc In
1 7 4
Cartesian
0.000 0.000 0.000 Hf
-0.877 0.000 3.188 Sc
-1.253 0.000 6.788 Sc
2.111 0.000 2.162 Sc
7.008 0.000 0.000 Sc
7.314 0.000 5.566 Sc
10.677 0.000 0.940 Sc
10.302 0.000 4.539 Sc
1.465 0.000 5.069 In
4.920 0.000 2.236 In
4.504 0.000 5.491 In
7.960 0.000 2.658 In

HfSc2In2 | the Alexandria database | PBE-GGA | optimized geometry; theoretical density = 7.186 g cm⁻³; energy of formation from the pure elements = -0.05 eV/atom; space group = P4/mbm
1.0
8.536 0.000 0.000
0.000 8.536 0.000
0.000 0.000 3.159
Hf Sc In
2 4 4
Cartesian
0.000 0.000 0.000 Hf
4.268 4.268 0.000 Hf
1.041 3.227 0.000 Sc
3.227 7.495 0.000 Sc
5.309 1.041 0.000 Sc
7.495 5.309 0.000 Sc
1.507 5.775 1.580 In
2.761 1.507 1.580 In
5.775 7.029 1.580 In
7.029 2.761 1.580 In